1.
A plane-wave DFT calculation with GGA-PBE was carried out for a relaxed PmPrDyY3 crystal.

POSCAR file:
```
PmPrDyY3
1.0
-1.007 -3.600 3.469
7.688 2.266 0.835
-2.842 7.197 6.644
Pm Pr Dy Y
2 2 2 6
Direct
0.499 0.999 0.750 Pm
0.501 0.001 0.250 Pm
0.000 0.000 0.500 Pr
0.000 0.000 0.000 Pr
0.833 0.665 0.750 Dy
0.167 0.335 0.250 Dy
0.668 0.336 0.500 Y
0.332 0.664 0.500 Y
0.332 0.664 0.000 Y
0.668 0.336 0.000 Y
0.168 0.336 0.750 Y
0.832 0.664 0.250 Y
```

For the total energy, the calculation gives -5.567 eV per atom. As for the energy of formation: 21 meV/atom. For the density of states at the Fermi level, the calculation gives 8.97 states/eV/f.u.

2.
A plane-wave DFT calculation with GGA-PBE was carried out for a relaxed Pm3PrDyY crystal.

POSCAR file:
```
Pm3PrDyY
1.0
5.150 0.000 0.000
0.000 8.022 -1.170
0.000 -3.385 10.338
Pm Pr Dy Y
6 2 2 2
Direct
0.750 0.874 0.042 Pm
0.250 0.126 0.958 Pm
0.250 0.627 0.458 Pm
0.750 0.373 0.542 Pm
0.750 0.377 0.209 Pm
0.250 0.623 0.791 Pm
0.250 0.124 0.292 Pr
0.750 0.876 0.708 Pr
0.250 0.125 0.625 Dy
0.750 0.875 0.375 Dy
0.250 0.625 0.125 Y
0.750 0.375 0.875 Y
```

For the total energy, the calculation gives -4.997 eV per atom. As for the energy of formation: 19 meV/atom. For the density of states at the Fermi level, the calculation gives 8.92 states/eV/f.u.

3.
A plane-wave DFT calculation with GGA-PBE was carried out for a relaxed Pm2Pr3DyY6 crystal.

POSCAR file:
```
Pm2Pr3DyY6
1.0
-4.086 -2.083 -4.288
2.315 -3.942 4.304
-8.291 4.629 7.177
Pm Pr Dy Y
2 3 1 6
Direct
0.333 0.667 0.000 Pm
0.667 0.333 0.000 Pm
0.167 0.833 0.500 Pr
0.833 0.167 0.500 Pr
0.500 0.500 0.500 Pr
0.000 0.000 0.000 Dy
0.918 0.585 0.752 Y
0.750 0.750 0.248 Y
0.082 0.415 0.248 Y
0.585 0.918 0.752 Y
0.250 0.250 0.752 Y
0.415 0.082 0.248 Y
```

For the total energy, the calculation gives -5.590 eV per atom. As for the energy of formation: 12 meV/atom. For the density of states at the Fermi level, the calculation gives 15.05 states/eV/f.u.

4.
A plane-wave DFT calculation with GGA-PBE was carried out for a relaxed Pm2PrDyY6 crystal.

POSCAR file:
```
Pm2PrDyY6
1.0
9.292 -2.145 -2.226
0.737 8.567 -1.989
0.737 -2.305 8.488
Pm Pr Dy Y
4 2 2 12
Direct
0.455 0.805 0.705 Pm
0.045 0.295 0.195 Pm
0.545 0.195 0.295 Pm
0.955 0.705 0.805 Pm
0.250 0.980 0.020 Pr
0.750 0.020 0.980 Pr
0.250 0.407 0.593 Dy
0.750 0.593 0.407 Dy
0.057 0.121 0.742 Y
0.443 0.258 0.879 Y
0.943 0.879 0.258 Y
0.557 0.742 0.121 Y
0.315 0.982 0.429 Y
0.185 0.571 0.018 Y
0.685 0.018 0.571 Y
0.815 0.429 0.982 Y
0.118 0.703 0.491 Y
0.382 0.509 0.297 Y
0.882 0.297 0.509 Y
0.618 0.491 0.703 Y
```

For the total energy, the calculation gives -5.654 eV per atom. As for the energy of formation: 113 meV/atom. For the density of states at the Fermi level, the calculation gives 15.23 states/eV/f.u.

5.
A plane-wave DFT calculation with GGA-PBE was carried out for a relaxed Pm6PrDy3Y2 crystal.

POSCAR file:
```
Pm6PrDy3Y2
1.0
-4.432 3.580 2.621
-1.387 -5.808 -1.914
4.830 -3.444 10.373
Pm Pr Dy Y
6 1 3 2
Direct
0.916 0.582 0.747 Pm
0.751 0.751 0.252 Pm
0.084 0.418 0.253 Pm
0.582 0.916 0.747 Pm
0.249 0.249 0.748 Pm
0.418 0.084 0.253 Pm
0.000 0.000 0.000 Pr
0.167 0.833 0.500 Dy
0.833 0.167 0.500 Dy
0.500 0.500 0.500 Dy
0.333 0.667 0.000 Y
0.667 0.333 0.000 Y
```

For the total energy, the calculation gives -4.989 eV per atom. As for the energy of formation: 13 meV/atom. For the density of states at the Fermi level, the calculation gives 15.04 states/eV/f.u.

6.
A plane-wave DFT calculation with GGA-PBE was carried out for a relaxed PmPr2Dy6Y3 crystal.

POSCAR file:
```
PmPr2Dy6Y3
1.0
6.219 0.001 0.005
-3.107 5.387 0.005
-1.043 -1.806 11.692
Pm Pr Dy Y
1 2 6 3
Direct
0.000 0.000 0.000 Pm
0.333 0.667 0.000 Pr
0.667 0.333 0.000 Pr
0.915 0.582 0.747 Dy
0.752 0.752 0.253 Dy
0.085 0.418 0.253 Dy
0.582 0.915 0.747 Dy
0.248 0.248 0.747 Dy
0.418 0.085 0.253 Dy
0.167 0.833 0.500 Y
0.833 0.167 0.500 Y
0.500 0.500 0.500 Y
```

For the total energy, the calculation gives -5.090 eV per atom. As for the energy of formation: 19 meV/atom. For the density of states at the Fermi level, the calculation gives 16.61 states/eV/f.u.

Number 1: M_tot 0.00 μB per cell. Number 2: M_tot 0.00 μB per cell. Number 3: M_tot 0.00 μB per cell. Number 4: M_tot 0.00 μB per cell. Number 5: M_tot 0.00 μB per cell. Number 6: M_tot 0.00 μB per cell.